Record 1
Entry from Alexandria: an optimized crystal structure of TlCrP4 (PBE).

Values from the calculation:
uncorrected energy: -0.183 Ha/atom

Structure (CIF):
```
data_TlCrP4
_space_group_name_H-M_alt 'F -4 3 m'
_space_group_IT_number 216
_space_group_name_Hall 'F -4 2 3'
_cell_length_a 7.9034
_cell_length_b 7.9034
_cell_length_c 7.9034
_cell_angle_alpha 90.00
_cell_angle_beta 90.00
_cell_angle_gamma 90.00
loop_
_atom_site_label
_atom_site_type_symbol
_atom_site_fract_x
_atom_site_fract_y
_atom_site_fract_z
Tl1 Tl 0.0000 0.0000 0.0000
Cr1 Cr 0.2500 0.2500 0.7500
P1 P 0.1035 0.1035 0.3965
```

=====

Record 2
Entry from Alexandria: an optimized crystal structure of TlCr2P (PBE).

Values from the calculation:
uncorrected energy: -0.225 Ha/atom

Structure (CIF):
```
data_TlCr2P
_space_group_name_H-M_alt 'I 4/m m m'
_space_group_IT_number 139
_space_group_name_Hall '-I 4 2'
_cell_length_a 4.3434
_cell_length_b 4.3434
_cell_length_c 7.4665
_cell_angle_alpha 90.00
_cell_angle_beta 90.00
_cell_angle_gamma 90.00
loop_
_atom_site_label
_atom_site_type_symbol
_atom_site_fract_x
_atom_site_fract_y
_atom_site_fract_z
Tl1 Tl 0.0000 0.0000 0.0000
Cr1 Cr 0.0000 0.5000 0.2500
P1 P 0.0000 0.0000 0.5000
```

=====

Record 3
Entry from Alexandria: an optimized crystal structure of Tl2CrP (PBE).

Values from the calculation:
uncorrected energy: -0.160 Ha/atom

Structure (CIF):
```
data_Tl2CrP
_space_group_name_H-M_alt 'R -3 m'
_space_group_IT_number 166
_space_group_name_Hall '-R 3 2"'
_cell_length_a 3.6790
_cell_length_b 3.6790
_cell_length_c 23.5756
_cell_angle_alpha 90.00
_cell_angle_beta 90.00
_cell_angle_gamma 120.00
loop_
_atom_site_label
_atom_site_type_symbol
_atom_site_fract_x
_atom_site_fract_y
_atom_site_fract_z
Tl1 Tl 0.0000 0.0000 0.2449
Cr1 Cr 0.0000 0.0000 0.0000
P1 P 0.0000 0.0000 0.5000
```

=====

Record 4
Entry from Alexandria: an optimized crystal structure of TlCr2P (PBE).

Values from the calculation:
uncorrected energy: -0.225 Ha/atom

Structure (CIF):
```
data_TlCr2P
_space_group_name_H-M_alt 'I -4 2 d'
_space_group_IT_number 122
_space_group_name_Hall 'I -4 2bw'
_cell_length_a 4.5952
_cell_length_b 4.5952
_cell_length_c 16.3598
_cell_angle_alpha 90.00
_cell_angle_beta 90.00
_cell_angle_gamma 90.00
loop_
_atom_site_label
_atom_site_type_symbol
_atom_site_fract_x
_atom_site_fract_y
_atom_site_fract_z
Tl1 Tl 0.0000 0.0000 0.0000
Cr1 Cr 0.1777 0.2500 0.6250
P1 P 0.0000 0.0000 0.5000
```

=====

Record 5
Entry from Alexandria: an optimized crystal structure of TlCr2P (PBE).

Values from the calculation:
uncorrected energy: -0.237 Ha/atom

Structure (CIF):
```
data_TlCr2P
_space_group_name_H-M_alt 'C 1 m 1'
_space_group_IT_number 8
_cell_length_a 7.8552
_cell_length_b 3.0261
_cell_length_c 6.3098
_cell_angle_alpha 90.00
_cell_angle_beta 98.08
_cell_angle_gamma 90.00
loop_
_space_group_symop_operation_xyz
'x,y,z'
'x,-y,z'
'x+1/2,y+1/2,z'
'x+1/2,-y+1/2,z'
loop_
_atom_site_label
_atom_site_type_symbol
_atom_site_fract_x
_atom_site_fract_y
_atom_site_fract_z
Tl1 Tl 0.0000 0.0000 0.0000
Cr1 Cr 0.0110 0.5000 0.4735
Cr2 Cr 0.2397 0.0000 0.6738
P1 P 0.2873 0.5000 0.3800
```

=====

Record 6
Entry from Alexandria: an optimized crystal structure of TlCr2P (PBE).

Values from the calculation:
uncorrected energy: -0.228 Ha/atom

Structure (CIF):
```
data_TlCr2P
_space_group_name_H-M_alt 'I -4 m 2'
_space_group_IT_number 119
_space_group_name_Hall 'I -4 -2'
_cell_length_a 3.7919
_cell_length_b 3.7919
_cell_length_c 9.6031
_cell_angle_alpha 90.00
_cell_angle_beta 90.00
_cell_angle_gamma 90.00
loop_
_atom_site_label
_atom_site_type_symbol
_atom_site_fract_x
_atom_site_fract_y
_atom_site_fract_z
Tl1 Tl 0.0000 0.0000 0.0000
Cr1 Cr 0.0000 0.0000 0.5000
Cr2 Cr 0.0000 0.5000 0.7500
P1 P 0.0000 0.5000 0.2500
```

=====

Record 7
Entry from Alexandria: an optimized crystal structure of Tl3CrP (PBE).

Values from the calculation:
uncorrected energy: -0.133 Ha/atom

Structure (CIF):
```
data_Tl3CrP
_space_group_name_H-M_alt 'P m -3 m'
_space_group_IT_number 221
_space_group_name_Hall '-P 4 2 3'
_cell_length_a 5.3271
_cell_length_b 5.3271
_cell_length_c 5.3271
_cell_angle_alpha 90.00
_cell_angle_beta 90.00
_cell_angle_gamma 90.00
loop_
_atom_site_label
_atom_site_type_symbol
_atom_site_fract_x
_atom_site_fract_y
_atom_site_fract_z
Tl1 Tl 0.0000 0.0000 0.5000
Cr1 Cr 0.0000 0.0000 0.0000
P1 P 0.5000 0.5000 0.5000
```

=====

Record 8
Entry from Alexandria: an optimized crystal structure of TlCr4P (PBE).

Values from the calculation:
uncorrected energy: -0.259 Ha/atom

Structure (CIF):
```
data_TlCr4P
_space_group_name_H-M_alt 'F -4 3 m'
_space_group_IT_number 216
_space_group_name_Hall 'F -4 2 3'
_cell_length_a 6.9546
_cell_length_b 6.9546
_cell_length_c 6.9546
_cell_angle_alpha 90.00
_cell_angle_beta 90.00
_cell_angle_gamma 90.00
loop_
_atom_site_label
_atom_site_type_symbol
_atom_site_fract_x
_atom_site_fract_y
_atom_site_fract_z
Tl1 Tl 0.0000 0.0000 0.0000
Cr1 Cr 0.1255 0.1255 0.3745
P1 P 0.2500 0.2500 0.7500
```

=====

Question: What is the formula in the fifth record?
Answer: TlCr2P

=====

Please write out number 4 again, unchanged.
Entry from Alexandria: an optimized crystal structure of TlCr2P (PBE).

Values from the calculation:
uncorrected energy: -0.225 Ha/atom

Structure (CIF):
```
data_TlCr2P
_space_group_name_H-M_alt 'I -4 2 d'
_space_group_IT_number 122
_space_group_name_Hall 'I -4 2bw'
_cell_length_a 4.5952
_cell_length_b 4.5952
_cell_length_c 16.3598
_cell_angle_alpha 90.00
_cell_angle_beta 90.00
_cell_angle_gamma 90.00
loop_
_atom_site_label
_atom_site_type_symbol
_atom_site_fract_x
_atom_site_fract_y
_atom_site_fract_z
Tl1 Tl 0.0000 0.0000 0.0000
Cr1 Cr 0.1777 0.2500 0.6250
P1 P 0.0000 0.0000 0.5000
```

=====

Question: What is the uncorrected energy in the eighth record?
Answer: -0.259 Ha/atom